(1)
18
Lattice="1.6425 -6.5828 0.0000 1.6425 6.5828 0.0000 0.0000 0.0000 10.0795" Properties=species:S:1:pos:R:3 comment="PBE-GGA Pa2NbCuN5, relaxed" formation_energy_uncorrected_ev_per_atom=-1.044 pbc="T T T"
Pa 1.6425 5.0398 5.0398
Pa 1.6425 4.8390 1.1712
Pa 1.6425 -4.8390 6.2109
Pa 1.6425 -5.0398 0.0000
Nb 1.6425 4.0844 8.2455
Nb 1.6425 -4.0844 3.2057
Cu 1.6425 0.1363 2.9375
Cu 1.6425 -0.1363 7.9772
N 1.6425 5.9585 8.9742
N 1.6425 2.7526 4.7601
N 1.6425 2.5718 1.6933
N 1.6425 1.9379 8.3154
N 1.6425 0.0914 5.9999
N 1.6425 -0.0914 0.9601
N 1.6425 -1.9379 3.2757
N 1.6425 -2.5718 6.7331
N 1.6425 -2.7526 9.7998
N 1.6425 -5.9585 3.9345


(2)
8
Lattice="3.8481 0.0000 0.0000 0.0000 5.6658 0.0000 0.0000 0.0000 6.8837" Properties=species:S:1:pos:R:3 comment="PBE-GGA NaNiGe2, relaxed" formation_energy_mev_per_atom=-146 pbc="T T T"
Na 0.9620 1.4164 0.3233
Na 2.8861 4.2493 6.5604
Ni 0.9620 4.2493 2.4229
Ni 2.8861 1.4164 4.4608
Ge 0.9620 2.9064 4.4862
Ge 0.9620 5.5923 4.4862
Ge 2.8861 0.0735 2.3975
Ge 2.8861 2.7594 2.3975


The evaluated calculated total energy for the records listed, in turn: -9.3533, -4.2293 eV per atom.